No. 1
Compound: Hf8Co2Si
Source: the Alexandria database
Functional: PBE
Structure: optimized geometry

Final energy (eV per atom): -9.144
Formation energy from raw total energies (kJ per mole of atoms): -12
Space-group type: C2/m, No. 12
Crystal system: monoclinic

a = 4.7101 Å, b = 7.2340 Å, c = 7.2340 Å
α = 114.95°, β = 98.50°, γ = 98.50°
With the nearest neighbours (Å) after each atom.
Fractional coordinates of all 11 atoms:
Hf 0.0791 0.3186 0.0772  2 Co 2.60-2.79
Hf 0.9209 0.6814 0.9228  2 Co 2.60-2.79
Hf 0.6848 0.3834 0.3834  2 Co 2.72, 4 Hf 2.84-3.03, 1 Si 2.87
Hf 0.0791 0.0772 0.3186  2 Co 2.60-2.79
Hf 0.5000 0.7615 0.2385  2 Co 2.53
Hf 0.9209 0.9228 0.6814  2 Co 2.60-2.79
Hf 0.3152 0.6166 0.6166  2 Co 2.72, 4 Hf 2.84-3.03, 1 Si 2.87
Hf 0.5000 0.2385 0.7615  2 Co 2.53
Co 0.0000 0.6854 0.3146  8 Hf 2.53-2.79
Co 0.0000 0.3146 0.6854  8 Hf 2.53-2.79
Si 0.5000 0.0000 0.0000  12 Hf 2.87-3.19

***

No. 2
Compound: Sm2Mg3Pd2
Source: the Alexandria database
Functional: PBE
Structure: optimized geometry

Final energy (eV per atom): -4.086
Formation energy (eV/atom): -0.57
Space-group type: C2/m, No. 12
Crystal system: monoclinic

a = 4.3709 Å, b = 5.6041 Å, c = 7.6465 Å
α = 110.82°, β = 90.00°, γ = 112.95°
With the nearest neighbours (Å) after each atom.
Fractional coordinates of all 7 atoms:
Mg 0.6337 0.2674 0.4402  3 Pd 2.81-2.89, 3 Mg 3.11
Mg 0.3663 0.7326 0.5598  3 Pd 2.81-2.89, 3 Mg 3.11
Mg 0.5000 0.0000 0.0000  4 Pd 2.76
Pd 0.1469 0.2937 0.2001  5 Mg 2.76-2.89, 3 Sm 3.03-3.05
Pd 0.8531 0.7063 0.7999  5 Mg 2.76-2.89, 3 Sm 3.03-3.05
Sm 0.8577 0.7154 0.2157  4 Pd 3.03-3.16, 5 Mg 3.37-3.39
Sm 0.1423 0.2846 0.7843  4 Pd 3.03-3.16, 5 Mg 3.37-3.39

***

No. 3
Compound: ScFe2Pt
Source: the Alexandria database
Functional: PBE
Structure: optimized geometry

Final energy (eV per atom): -7.525
Formation energy (eV/atom): -0.20
Space-group type: P2/m, No. 10
Crystal system: monoclinic

a = 4.3788 Å, b = 2.7835 Å, c = 5.0369 Å
α = 78.19°, β = 90.00°, γ = 90.00°
With the nearest neighbours (Å) after each atom.
Fractional coordinates of all 4 atoms:
Fe 0.0000 0.4701 0.5026  4 Fe 2.54-2.78, 2 Pt 2.67, 2 Sc 2.71
Fe 0.0000 0.0299 0.9974  4 Fe 2.54-2.78, 2 Pt 2.67, 2 Sc 2.71
Sc 0.5000 0.7500 0.7500  2 Pt 2.62, 4 Fe 2.71, 2 Sc 2.78
Pt 0.5000 0.2500 0.2500  2 Sc 2.62, 4 Fe 2.67, 2 Pt 2.78

***

No. 4
Compound: MnPtRh6
Source: the Alexandria database
Functional: PBE
Structure: optimized geometry

Final energy (eV per atom): -7.471
Formation energy (eV/atom): -0.06
Space-group type: P4/mmm, No. 123
Crystal system: tetragonal

a = 3.8368 Å, b = 5.4475 Å, c = 5.4475 Å
α = 90.01°, β = 90.00°, γ = 90.00°
With the nearest neighbours (Å) after each atom.
Fractional coordinates of all 8 atoms:
Rh 0.0000 0.7537 0.7537  8 Rh 2.68-2.76, 2 Mn 2.70, 2 Pt 2.74
Rh 0.5000 0.5000 0.0000  8 Rh 2.72, 2 Pt 2.72, 2 Mn 2.72
Rh 0.0000 0.2463 0.2463  8 Rh 2.68-2.76, 2 Mn 2.70, 2 Pt 2.74
Rh 0.0000 0.2462 0.7538  8 Rh 2.68-2.76, 2 Mn 2.70, 2 Pt 2.74
Rh 0.5000 0.0000 0.5000  8 Rh 2.72, 2 Mn 2.72, 2 Pt 2.72
Rh 0.0000 0.7538 0.2462  8 Rh 2.68-2.76, 2 Mn 2.70, 2 Pt 2.74
Mn 0.5000 0.0000 0.0000  12 Rh 2.70-2.72
Pt 0.5000 0.5000 0.5000  12 Rh 2.72-2.74

***

No. 5
Compound: Y2ScSeI
Source: the Alexandria database
Functional: PBE
Structure: optimized geometry

Final energy (eV per atom): -5.237
Formation energy from raw total energies (kJ per mole of atoms): -36
Space-group type: P4/mmm, No. 123
Crystal system: tetragonal

a = 5.4985 Å, b = 4.9986 Å, c = 5.4985 Å
α = 90.00°, β = 90.00°, γ = 90.00°
With the nearest neighbours (Å) after each atom.
Fractional coordinates of all 5 atoms:
Y 0.0000 0.0000 0.5000  2 Se 2.75
Y 0.5000 0.0000 0.0000  2 Se 2.75
Se 0.0000 0.0000 0.0000  2 Sc 2.50, 4 Y 2.75
I 0.5000 0.5000 0.5000  8 Y 3.72, 4 Sc 3.89
Sc 0.0000 0.5000 0.0000  2 Se 2.50

***

No. 6
Compound: BeTe2PtN
Source: the Alexandria database
Functional: PBE
Structure: optimized geometry

Final energy (eV per atom): -4.525
Formation energy from raw total energies (kJ per mole of atoms): 34
Space-group type: P4/mmm, No. 123
Crystal system: tetragonal

a = 5.3270 Å, b = 5.3270 Å, c = 3.0490 Å
α = 90.00°, β = 90.00°, γ = 90.00°
With the nearest neighbours (Å) after each atom.
Fractional coordinates of all 5 atoms:
N 0.0000 0.0000 0.5000  2 Be 1.52
Te 0.5000 0.0000 0.0000  2 Be 2.66
Te 0.0000 0.5000 0.0000  2 Be 2.66
Be 0.0000 0.0000 0.0000  2 N 1.52
Pt 0.5000 0.5000 0.5000  2 Pt 3.05, 8 Te 3.07

***

No. 7
Compound: AgBiPbBr6
Source: the Alexandria database
Functional: PBE
Structure: optimized geometry

Final energy (eV per atom): -2.962
Formation energy from raw total energies (kJ per mole of atoms): -66
Space-group type: P-31c, No. 163
Crystal system: trigonal

a = 7.3344 Å, b = 7.3344 Å, c = 13.3823 Å
α = 90.00°, β = 90.00°, γ = 120.00°
With the nearest neighbours (Å) after each atom.
Fractional coordinates of all 18 atoms:
Pb 0.0000 0.0000 0.0000  6 Br 3.08
Pb 0.0000 0.0000 0.5000  6 Br 3.08
Br 0.9998 0.6509 0.8723  1 Ag 2.90, 1 Bi 2.90, 1 Pb 3.08
Br 0.3489 0.3491 0.3723  1 Ag 2.90, 1 Bi 2.90, 1 Pb 3.08
Br 0.6511 0.0002 0.8723  1 Ag 2.90, 1 Bi 2.90, 1 Pb 3.08
Br 0.0002 0.3491 0.1277  1 Ag 2.90, 1 Bi 2.90, 1 Pb 3.08
Br 0.3491 0.3489 0.8723  1 Ag 2.90, 1 Bi 2.90, 1 Pb 3.08
Br 0.6511 0.6509 0.6277  1 Ag 2.90, 1 Bi 2.90, 1 Pb 3.08
Br 0.3491 0.0002 0.6277  1 Ag 2.90, 1 Bi 2.90, 1 Pb 3.08
Br 0.3489 0.9998 0.1277  1 Ag 2.90, 1 Bi 2.90, 1 Pb 3.08
Br 0.9998 0.3489 0.6277  1 Ag 2.90, 1 Bi 2.90, 1 Pb 3.08
Br 0.6509 0.6511 0.1277  1 Ag 2.90, 1 Bi 2.90, 1 Pb 3.08
Br 0.0002 0.6511 0.3723  1 Ag 2.90, 1 Bi 2.90, 1 Pb 3.08
Br 0.6509 0.9998 0.3723  1 Ag 2.90, 1 Bi 2.90, 1 Pb 3.08
Bi 0.6667 0.3333 0.2500  6 Br 2.90
Bi 0.3333 0.6667 0.7500  6 Br 2.90
Ag 0.3333 0.6667 0.2500  6 Br 2.90
Ag 0.6667 0.3333 0.7500  6 Br 2.90

***

No. 8
Compound: Np2Si4MoPt3
Source: the Alexandria database
Functional: PBE
Structure: optimized geometry

Final energy (eV per atom): -8.298
Formation energy from raw total energies (kJ per mole of atoms): -62
Space-group type: P-4m2, No. 115
Crystal system: tetragonal

a = 4.2292 Å, b = 4.2292 Å, c = 9.8224 Å
α = 90.00°, β = 90.00°, γ = 90.00°
With the nearest neighbours (Å) after each atom.
Fractional coordinates of all 10 atoms:
Np 0.0000 0.5000 0.7512  8 Si 3.21-3.23, 6 Pt 3.24-3.25, 2 Mo 3.25
Np 0.5000 0.0000 0.2488  8 Si 3.21-3.23, 6 Pt 3.24-3.25, 2 Mo 3.25
Mo 0.5000 0.5000 0.5000  4 Si 2.49
Si 0.5000 0.0000 0.6337  3 Pt 2.41-2.49, 2 Mo 2.49
Si 0.0000 0.5000 0.3663  3 Pt 2.41-2.49, 2 Mo 2.49
Si 0.0000 0.0000 0.0000  4 Pt 2.43
Si 0.5000 0.5000 0.0000  4 Pt 2.43
Pt 0.0000 0.5000 0.1214  5 Si 2.41-2.43
Pt 0.5000 0.0000 0.8786  5 Si 2.41-2.43
Pt 0.0000 0.0000 0.5000  4 Si 2.49